First-principles (PBE) data for a relaxed structure of PaGe12Pt4, as listed in Alexandria via LeMat-Bulk.

Unit cell a=7.508 b=7.508 c=7.508 alpha=109.47 beta=109.47 gamma=109.47
Atoms (fractional coordinates):
Pa 0.000 0.000 0.000
Ge 0.149 0.352 0.501
Ge 0.149 0.648 0.797
Ge 0.203 0.851 0.352
Ge 0.352 0.203 0.851
Ge 0.352 0.501 0.149
Ge 0.499 0.851 0.648
Ge 0.501 0.149 0.352
Ge 0.648 0.499 0.851
Ge 0.648 0.797 0.149
Ge 0.797 0.149 0.648
Ge 0.851 0.352 0.203
Ge 0.851 0.648 0.499
Pt 0.000 0.000 0.500
Pt 0.000 0.500 0.000
Pt 0.500 0.000 0.000
Pt 0.500 0.500 0.500

Output
Density   9.597 Mg/m³
Magnetic moment   0.000 μB per atom
Symmetry   Im-3 (204)
DFT formation energy   -336 meV/atom